Material: BaMgCd3
Method: DFT, GGA-PBE
State: relaxed

Computed properties:
ΔH_f (0 K) ... 64 kJ/mol of atoms
Symmetry ... Pm-3m
ρ ... 2877 kg/m3

Geometry as extended XYZ:
```
5
Lattice="6.604 0.000 0.000 0.000 6.604 0.000 0.000 0.000 6.604" Properties=species:S:1:pos:R:3 pbc="T T T"
Ba 0.000 0.000 0.000
Mg 3.302 3.302 3.302
Cd 0.000 0.000 3.302
Cd 0.000 3.302 0.000
Cd 3.302 0.000 0.000
```



Material: SrCoPb
Method: DFT, GGA-PBE
State: relaxed

Computed properties:
ΔH_f (0 K) ... 22 kJ/mol of atoms
Symmetry ... F-43m
ρ ... 7498 kg/m3

Geometry as extended XYZ:
```
3
Lattice="0.000 3.396 3.396 3.396 0.000 3.396 3.396 3.396 0.000" Properties=species:S:1:pos:R:3 pbc="T T T"
Sr 0.000 0.000 0.000
Co 5.094 5.094 5.094
Pb 3.396 3.396 3.396
```



no.,uncorrected energy (eV per cell)
1,-2.96
2,-11.82